Li3Ga9Ni2 | GGA-PBE | relaxed

Calculated values
The calculation puts the formation energy at -246 meV per atom. The volume is 16.01 Å³/atom. As for the symmetry: No. 71.

```
data_Li3Ga9Ni2
_chemical_formula_sum 'Li3 Ga9 Ni2'
_space_group_name_H-M_alt 'P 1'
_space_group_IT_number 1
_space_group_name_Hall 'P 1'
_cell_length_a 7.7565
_cell_length_b 7.7565
_cell_length_c 7.7565
_cell_angle_alpha 149.79
_cell_angle_beta 102.03
_cell_angle_gamma 85.84
loop_
_atom_site_label
_atom_site_type_symbol
_atom_site_fract_x
_atom_site_fract_y
_atom_site_fract_z
Li1 Li 0.0000 0.0000 0.0000
Li2 Li 0.2912 0.2912 0.0000
Li3 Li 0.7088 0.7088 0.0000
Ga1 Ga 0.9996 0.3693 0.6303
Ga2 Ga 0.0004 0.6307 0.3697
Ga3 Ga 0.1490 0.8579 0.2911
Ga4 Ga 0.2611 0.6307 0.6303
Ga5 Ga 0.4333 0.1421 0.2911
Ga6 Ga 0.5000 0.0000 0.5000
Ga7 Ga 0.5667 0.8579 0.7089
Ga8 Ga 0.7389 0.3693 0.3697
Ga9 Ga 0.8510 0.1421 0.7089
Ni1 Ni 0.3429 0.5000 0.8429
Ni2 Ni 0.6571 0.5000 0.1571
```

TlRu2 | GGA-PBE | relaxed

Calculated values
The calculation puts the formation energy at 570 meV per atom. The volume is 16.95 Å³/atom. The value obtained for the polymorph energy (0 for the lowest one) is 0.1610 eV/atom. As for the symmetry: No. 164.

```
data_TlRu2
_chemical_formula_sum 'Tl1 Ru2'
_space_group_name_H-M_alt 'P 1'
_space_group_IT_number 1
_space_group_name_Hall 'P 1'
_cell_length_a 2.9218
_cell_length_b 2.9218
_cell_length_c 6.8768
_cell_angle_alpha 90.00
_cell_angle_beta 90.00
_cell_angle_gamma 120.00
loop_
_atom_site_label
_atom_site_type_symbol
_atom_site_fract_x
_atom_site_fract_y
_atom_site_fract_z
Tl1 Tl 0.0000 0.0000 0.0000
Ru1 Ru 0.3333 0.6667 0.3568
Ru2 Ru 0.6667 0.3333 0.6432
```

Re2AgW | GGA-PBE | relaxed

Calculated values
The calculation puts the formation energy at 603 meV per atom. The volume is 16.25 Å³/atom. The value obtained for the polymorph energy (0 for the lowest one) is 0.2929 eV/atom. As for the symmetry: No. 99.

```
data_Re2AgW
_chemical_formula_sum 'Re2 Ag1 W1'
_space_group_name_H-M_alt 'P 1'
_space_group_IT_number 1
_space_group_name_Hall 'P 1'
_cell_length_a 3.3264
_cell_length_b 3.3264
_cell_length_c 5.8741
_cell_angle_alpha 90.00
_cell_angle_beta 90.00
_cell_angle_gamma 90.00
loop_
_atom_site_label
_atom_site_type_symbol
_atom_site_fract_x
_atom_site_fract_y
_atom_site_fract_z
Re1 Re 0.0000 0.0000 0.0000
Re2 Re 0.5000 0.5000 0.2114
Ag1 Ag 0.5000 0.5000 0.7193
W1 W 0.0000 0.0000 0.4401
```

NaCaTeN2 | GGA-PBE | relaxed

Calculated values
The value obtained for the uncorrected formation energy is 0.861 eV per atom. The volume is 28.40 Å³/atom. The value obtained for the polymorph energy (0 for the lowest one) is 0.0000 eV/atom. As for the symmetry: No. 123.

```
data_NaCaTeN2
_chemical_formula_sum 'Na1 Ca1 Te1 N2'
_space_group_name_H-M_alt 'P 1'
_space_group_IT_number 1
_space_group_name_Hall 'P 1'
_cell_length_a 4.7529
_cell_length_b 4.7529
_cell_length_c 6.2862
_cell_angle_alpha 90.00
_cell_angle_beta 90.00
_cell_angle_gamma 90.00
loop_
_atom_site_label
_atom_site_type_symbol
_atom_site_fract_x
_atom_site_fract_y
_atom_site_fract_z
Na1 Na 0.0000 0.0000 0.0000
Ca1 Ca 0.5000 0.5000 0.5000
Te1 Te 0.5000 0.5000 0.0000
N1 N 0.0000 0.5000 0.5000
N2 N 0.5000 0.0000 0.5000
```